Material: Cs3Te2S4
Method: DFT, PBE-GGA
State: optimized geometry

The structure belongs to space group C2/c (No. 15); the cell edges are 17.0476, 9.8265 and 9.6622 Å and the angles 90.00°, 100.20° and 90.00°. The inequivalent atoms are Cs at (0.0000, 0.0224, 0.2500), Cs at (0.1369, 0.4125, 0.8875), Te at (0.1697, 0.1606, 0.5569), S at (0.0479, 0.2858, 0.5362) and S at (0.2062, 0.0886, 0.7948).

The calculation puts the density at 3.3 g/cm3. For the magnetization, the calculation gives 0.00 μB per cell. The volume comes out at 398.3 Å³/f.u. As for the total energy: -3.49 eV/atom. Its density of states at the Fermi level is 16.47 states/eV per cell. Its uncorrected formation energy is -0.6690 eV/atom.


Material: CeNdPb2
Method: DFT, PBE-GGA
State: optimized geometry

The structure belongs to space group R-3m (No. 166, hexagonal axes); the cell edges are 3.6432, 3.6432 and 32.2655 Å and the angles 90.00°, 90.00° and 120.00°. The inequivalent atoms are Ce at (0.0000, 0.0000, 0.0000), Nd at (0.0000, 0.0000, 0.5000) and Pb at (0.0000, 0.0000, 0.2500).

The calculation puts the density at 9.4 g/cm3. As for the formation energy from the elements: -0.29 eV per atom. For the magnetization, the calculation gives 3.12 μB per cell. The volume comes out at 123.6 Å³/f.u. As for the total energy: -4.82 eV/atom. Its density of states at the Fermi level is 22.09 states/eV per cell.


Material: KCa2TeAs
Method: DFT, PBE-GGA
State: optimized geometry

The structure belongs to space group P4/mmm (No. 123); the cell edges are 6.1657, 6.1657 and 5.5443 Å and the angles 90.00°, 90.00° and 90.00°. The inequivalent atoms are K at (0.0000, 0.0000, 0.0000), Ca at (0.0000, 0.5000, 0.0000), Te at (0.0000, 0.0000, 0.5000) and As at (0.5000, 0.5000, 0.5000).

The calculation puts the density at 2.5 g/cm3. For the magnetization, the calculation gives 0.00 μB per cell. The volume comes out at 210.8 Å³/f.u. As for the total energy: -1.91 eV/atom. Its density of states at the Fermi level is 4.92 states/eV per cell. Its uncorrected formation energy is 0.6681 eV/atom.


Material: YTaRu
Method: DFT, PBE-GGA
State: optimized geometry

The structure belongs to space group F-43m (No. 216); the cell edges are 6.4171, 6.4171 and 6.4171 Å and the angles 90.00°, 90.00° and 90.00°. The inequivalent atoms are Y at (0.0000, 0.0000, 0.0000), Ta at (0.2500, 0.2500, 0.2500) and Ru at (0.2500, 0.2500, 0.7500).

The calculation puts the density at 9.3 g/cm3. As for the formation energy from the elements: 1.39 eV per atom. For the magnetization, the calculation gives 0.00 μB per cell. The volume comes out at 66.1 Å³/f.u. As for the energy relative to the lowest polymorph listed for this composition: 1.592 eV per atom. As for the total energy: -7.81 eV/atom. Its density of states at the Fermi level is 14.19 states/eV per cell.


Material: Tc2PPd2
Method: DFT, PBE-GGA
State: optimized geometry

The structure belongs to space group P4/mbm (No. 127); the cell edges are 6.0565, 6.0565 and 4.2262 Å and the angles 90.00°, 90.00° and 90.00°. The inequivalent atoms are Tc at (0.1412, 0.3588, 0.0000), P at (0.0000, 0.0000, 0.0000) and Pd at (0.1580, 0.6580, 0.5000).

The calculation puts the density at 9.4 g/cm3. As for the formation energy from the elements: -0.01 eV per atom. For the magnetization, the calculation gives 0.00 μB per cell. The volume comes out at 77.5 Å³/f.u. As for the total energy: -7.31 eV/atom. Its density of states at the Fermi level is 9.59 states/eV per cell.


Material: CdNiPb2
Method: DFT, PBE-GGA
State: optimized geometry

The structure belongs to space group R3m (No. 160, hexagonal axes); the cell edges are 3.4028, 3.4028 and 29.1284 Å and the angles 90.00°, 90.00° and 120.00°. The inequivalent atoms are Cd at (0.0000, 0.0000, 0.0000), Ni at (0.0000, 0.0000, 0.7289), Pb at (0.0000, 0.0000, 0.2369) and Pb at (0.0000, 0.0000, 0.4595).

The calculation puts the density at 10.0 g/cm3. As for the formation energy from the elements: 0.17 eV per atom. For the magnetization, the calculation gives 0.00 μB per cell. The volume comes out at 97.4 Å³/f.u. As for the energy relative to the lowest polymorph listed for this composition: 0.061 eV per atom. As for the total energy: -3.36 eV/atom. Its density of states at the Fermi level is 5.13 states/eV per cell.


Material: NaRhWCl2
Method: DFT, PBE-GGA
State: optimized geometry

The structure belongs to space group P4/mmm (No. 123); the cell edges are 4.7957, 4.7957 and 4.8907 Å and the angles 90.00°, 90.00° and 90.00°. The inequivalent atoms are Na at (0.0000, 0.0000, 0.0000), Rh at (0.5000, 0.5000, 0.0000), W at (0.5000, 0.5000, 0.5000) and Cl at (0.0000, 0.5000, 0.5000).

The calculation puts the density at 5.6 g/cm3. For the magnetization, the calculation gives 0.00 μB per cell. The volume comes out at 112.5 Å³/f.u. As for the total energy: -4.86 eV/atom. Its density of states at the Fermi level is 3.80 states/eV per cell. Its uncorrected formation energy is 0.2044 eV/atom.


Material: Na3UI7
Method: DFT, PBE-GGA
State: optimized geometry

The structure belongs to space group C222_1 (No. 20); the cell edges are 9.4692, 17.9211 and 12.3745 Å and the angles 90.00°, 90.00° and 90.00°. The inequivalent atoms are Na at (0.9997, 0.0000, 0.0000), Na at (0.2332, 0.3377, 0.2496), U at (0.9997, 0.5000, 0.0000), I at (0.0000, 0.0637, 0.7500), I at (0.0000, 0.2267, 0.2500), I at (0.0000, 0.4803, 0.2500), I at (0.2209, 0.3828, 0.9780) and I at (0.2218, 0.3829, 0.5216).

The calculation puts the density at 3.8 g/cm3. For the magnetization, the calculation gives 8.00 μB per cell. The volume comes out at 525.0 Å³/f.u. As for the total energy: -3.35 eV/atom. Its density of states at the Fermi level is 10.29 states/eV per cell. Its uncorrected formation energy is -0.9809 eV/atom.